VASP calculation (PBE+U) on a relaxed Zr2WF crystal.

Results
The calculation puts the energy at -6.410 eV/atom. The symmetry is Fm-3m.

The structure in extended XYZ format:
```
4
Lattice="0.000 3.330 3.330 3.330 0.000 3.330 3.330 3.330 0.000" Properties=species:S:1:pos:R:3 pbc="T T T"
Zr 1.665 1.665 1.665
Zr 4.994 4.994 4.994
W 3.330 3.330 3.330
F 0.000 0.000 0.000
```